Compound: Cu4Pd4Pt
Source: Alexandria
Functional: GGA-PBE
Structure: optimized geometry

abc: 5.392 5.392 9.153
angles: 90.00 90.00 90.00
Space group P4_2/nmc (No. 137, origin choice 2)
Symmetry-distinct sites (fractional):
Cu1 0.036 0.250 0.197 [8 per cell]
Pd1 0.002 0.250 0.483 [8 per cell]
Pt1 0.250 0.750 0.250 [2 per cell]

## Properties
The value obtained for the energy above the lowest structure with this stoichiometry is 23.6 kJ per mole of atoms. The calculated formation energy comes out at 0.15 eV per atom. The calculated total energy comes out at -4.6494 eV/atom.